Record 1
GGA-PBE TiGaH, relaxed; space group = Pnma (62); energy above the most stable polymorph in this dataset = 54 meV/atom
1.0
6.723 0.000 0.000
0.000 3.705 0.000
0.000 0.000 5.410
Ti Ga H
4 4 4
Direct
0.163 0.250 0.110
0.337 0.750 0.610
0.663 0.250 0.390
0.837 0.750 0.890
0.045 0.250 0.635
0.455 0.750 0.135
0.545 0.250 0.865
0.955 0.750 0.365
0.122 0.750 0.958
0.378 0.250 0.458
0.622 0.750 0.542
0.878 0.250 0.042

---

Record 2
GGA-PBE BaGeSb2I, relaxed; space group = P4/mmm (123); energy above the most stable polymorph in this dataset = 0 meV/atom; formation energy without anion corrections = -0.279 eV/atom
1.0
5.413 0.000 0.000
0.000 5.413 0.000
0.000 0.000 6.191
Ba Ge Sb I
1 1 2 1
Direct
0.000 0.000 0.000
0.500 0.500 0.500
0.000 0.500 0.500
0.500 0.000 0.500
0.500 0.500 0.000

---

Record 3
GGA-PBE TbY3Rh8, relaxed; energy of formation = -0.737 eV per atom; space group = R3m (160)
1.0
2.674 1.544 8.727
-2.674 1.544 8.727
0.000 -3.087 8.727
Tb Y Rh
1 3 8
Direct
0.000 0.000 0.000
0.125 0.125 0.125
0.500 0.500 0.500
0.625 0.625 0.625
0.063 0.063 0.563
0.063 0.563 0.063
0.063 0.563 0.563
0.313 0.313 0.313
0.563 0.063 0.063
0.563 0.063 0.563
0.563 0.563 0.063
0.813 0.813 0.813

---

Record 4
GGA-PBE CuIrS2, relaxed; space group = C2/c (15); formation energy without anion corrections = 0.030 eV/atom
1.0
2.452 -5.830 0.000
2.452 5.830 0.000
-0.145 0.000 5.298
Cu Ir S
2 2 4
Direct
0.221 0.779 0.750
0.779 0.221 0.250
0.468 0.532 0.250
0.532 0.468 0.750
0.144 0.394 0.549
0.394 0.144 0.049
0.606 0.856 0.951
0.856 0.606 0.451

---

Record 5
GGA-PBE Ti2VFeH, relaxed; space group = P4/mmm (123); E = -37.43 eV per cell
1.0
4.274 0.000 0.000
0.000 4.274 0.000
0.000 0.000 3.226
Ti V Fe H
2 1 1 1
Direct
0.000 0.500 0.000
0.500 0.000 0.000
0.000 0.000 0.500
0.500 0.500 0.500
0.500 0.500 0.000

---

Record 6
GGA-PBE Li2HoGa2Pd2, relaxed; energy of formation = -0.545 eV per atom; space group = C2/m (12)
1.0
3.868 -2.217 0.000
3.868 2.217 0.000
-2.480 0.000 7.062
Li Ho Ga Pd
2 1 2 2
Direct
0.076 0.076 0.223
0.924 0.924 0.777
0.500 0.500 0.500
0.361 0.361 0.082
0.639 0.639 0.918
0.238 0.238 0.722
0.762 0.762 0.278

---

Record 7
GGA-PBE La4Te2SN2, relaxed; space group = C2/m (12); formation energy without anion corrections = -1.768 eV/atom
1.0
7.937 -2.096 0.000
7.937 2.096 0.000
-2.619 0.000 7.270
La Te S N
4 2 1 2
Direct
0.037 0.037 0.267
0.289 0.289 0.346
0.711 0.711 0.654
0.963 0.963 0.733
0.369 0.369 0.963
0.631 0.631 0.037
0.500 0.500 0.500
0.173 0.173 0.479
0.827 0.827 0.521

---

Record 8
GGA-PBE CuNi2Os, relaxed; energy of formation = 0.095 eV per atom; space group = R3m (160); energy above the most stable polymorph in this dataset = 4 meV/atom
1.0
1.314 0.759 8.203
-1.314 0.759 8.203
0.000 -1.518 8.203
Cu Ni Os
1 2 1
Direct
0.000 0.000 0.000
0.416 0.416 0.416
0.584 0.584 0.584
0.833 0.833 0.833

---

Record 9
GGA-PBE Pm3Pt2F, relaxed; space group = C2/c (15); formation energy without anion corrections = -1.582 eV/atom
1.0
6.709 -2.932 0.000
6.709 2.932 0.000
-3.330 0.000 7.565
Pm Pt F
6 4 2
Direct
0.039 0.961 0.750
0.319 0.338 0.964
0.338 0.319 0.464
0.662 0.681 0.536
0.681 0.662 0.036
0.961 0.039 0.250
0.155 0.176 0.604
0.176 0.155 0.104
0.824 0.845 0.896
0.845 0.824 0.396
0.445 0.555 0.750
0.555 0.445 0.250

---

Record 10
GGA-PBE FeB2RhCl, relaxed; space group = P4/mmm (123); formation energy without anion corrections = 1.117 eV/atom
1.0
3.951 0.000 0.000
0.000 3.951 0.000
0.000 0.000 5.308
Fe B Rh Cl
1 2 1 1
Direct
0.000 0.000 0.000
0.000 0.500 0.500
0.500 0.000 0.500
0.500 0.500 0.500
0.500 0.500 0.000

---

Record 11
GGA-PBE Fe2Ni4Ir, relaxed; energy of formation = 0.213 eV per atom; space group = P-1 (2)
1.0
4.131 0.000 0.000
-1.794 4.038 0.000
-0.518 -1.769 5.298
Fe Ni Ir
2 4 1
Direct
0.235 0.042 0.350
0.765 0.958 0.650
0.000 0.500 0.000
0.454 0.405 0.769
0.500 0.000 0.000
0.546 0.595 0.231
0.000 0.500 0.500

---

Record 12
GGA-PBE Be2P, relaxed; energy of formation = 0.015 eV per atom; space group = C2/m (12); energy above the most stable polymorph in this dataset = 152 meV/atom
1.0
3.523 -1.664 0.000
3.523 1.664 0.000
-1.300 0.000 7.135
Be P
4 2
Direct
0.038 0.038 0.325
0.345 0.345 0.455
0.655 0.655 0.545
0.962 0.962 0.675
0.270 0.270 0.744
0.730 0.730 0.256

---

Record 13
GGA-PBE TaAgIr, relaxed; energy of formation = 0.279 eV per atom; space group = F-43m (216); energy above the most stable polymorph in this dataset = 398 meV/atom
1.0
0.000 3.088 3.088
3.088 0.000 3.088
3.088 3.088 0.000
Ta Ag Ir
1 1 1
Direct
0.000 0.000 0.000
0.500 0.500 0.500
0.750 0.750 0.750

---

Record 14
GGA-PBE MnCr, relaxed; energy of formation = 0.069 eV per atom; space group = Cm (8)
1.0
4.452 -1.409 0.000
4.452 1.409 0.000
-1.789 0.000 5.358
Mn Cr
3 3
Direct
0.000 0.000 0.000
0.004 0.004 0.494
0.328 0.328 0.660
0.331 0.331 0.161
0.664 0.664 0.830
0.670 0.670 0.329

---

Record 15
GGA-PBE RbCdAgSb, relaxed; space group = P4/nmm (129); formation energy without anion corrections = -0.081 eV/atom
1.0
4.397 0.000 0.000
0.000 4.397 0.000
0.000 0.000 14.017
Rb Cd Ag Sb
2 2 2 2
Direct
0.250 0.250 0.218
0.750 0.750 0.782
0.250 0.750 0.500
0.750 0.250 0.500
0.250 0.750 0.000
0.750 0.250 0.000
0.250 0.250 0.638
0.750 0.750 0.362

---

Record 16
GGA-PBE KCdHgBr2, relaxed; space group = P4/mmm (123); formation energy without anion corrections = -0.754 eV/atom
1.0
5.936 0.000 0.000
0.000 5.936 0.000
0.000 0.000 5.509
K Cd Hg Br
1 1 1 2
Direct
0.000 0.000 0.000
0.500 0.500 0.500
0.500 0.500 0.000
0.000 0.500 0.500
0.500 0.000 0.500

---

Record 17
GGA-PBE TcNiSbI2, relaxed; space group = P4/mmm (123); energy above the most stable polymorph in this dataset = 60 meV/atom; formation energy without anion corrections = 1.068 eV/atom
1.0
5.509 0.000 0.000
0.000 5.509 0.000
0.000 0.000 5.067
Tc Ni Sb I
1 1 1 2
Direct
0.000 0.000 0.000
0.500 0.500 0.500
0.000 0.000 0.500
0.000 0.500 0.000
0.500 0.000 0.000

---

Record 18
GGA-PBE ZrAl2Ga, relaxed; energy of formation = -0.089 eV per atom; space group = I-42d (122)
1.0
-3.727 3.727 2.767
3.727 -3.727 2.767
3.727 3.727 -2.767
Zr Al Ga
2 4 2
Direct
0.000 0.000 0.000
0.750 0.250 0.500
0.163 0.125 0.538
0.375 0.837 0.962
0.587 0.625 0.462
0.875 0.413 0.038
0.250 0.750 0.500
0.500 0.500 0.000

---

Record 19
GGA-PBE Tb3Fe5H12, relaxed; space group = Ia-3d (230); E = -399.51 eV per cell
1.0
-5.603 5.603 5.603
5.603 -5.603 5.603
5.603 5.603 -5.603
Tb Fe H
12 20 48
Direct
0.125 0.250 0.375
0.125 0.375 0.750
0.250 0.375 0.125
0.250 0.875 0.625
0.375 0.125 0.250
0.375 0.750 0.125
0.625 0.250 0.875
0.625 0.875 0.750
0.750 0.125 0.375
0.750 0.625 0.875
0.875 0.625 0.250
0.875 0.750 0.625
0.000 0.000 0.000
0.000 0.000 0.500
0.000 0.500 0.000
0.000 0.500 0.500
0.125 0.750 0.875
0.125 0.875 0.250
0.250 0.125 0.875
0.250 0.625 0.375
0.375 0.250 0.625
0.375 0.625 0.750
0.500 0.000 0.000
0.500 0.000 0.500
0.500 0.500 0.000
0.500 0.500 0.500
0.625 0.375 0.250
0.625 0.750 0.375
0.750 0.375 0.625
0.750 0.875 0.125
0.875 0.125 0.750
0.875 0.250 0.125
0.019 0.189 0.105
0.019 0.330 0.914
0.084 0.689 0.670
0.084 0.895 0.414
0.086 0.605 0.416
0.086 0.981 0.670
0.105 0.019 0.189
0.105 0.586 0.916
0.170 0.189 0.584
0.170 0.481 0.586
0.189 0.105 0.019
0.189 0.584 0.170
0.311 0.330 0.916
0.311 0.481 0.395
0.330 0.914 0.019
0.330 0.916 0.311
0.395 0.311 0.481
0.395 0.584 0.914
0.414 0.084 0.895
0.414 0.830 0.519
0.416 0.086 0.605
0.416 0.830 0.811
0.481 0.395 0.311
0.481 0.586 0.170
0.519 0.414 0.830
0.519 0.605 0.689
0.584 0.170 0.189
0.584 0.914 0.395
0.586 0.170 0.481
0.586 0.916 0.105
0.605 0.416 0.086
0.605 0.689 0.519
0.670 0.084 0.689
0.670 0.086 0.981
0.689 0.519 0.605
0.689 0.670 0.084
0.811 0.416 0.830
0.811 0.895 0.981
0.830 0.519 0.414
0.830 0.811 0.416
0.895 0.414 0.084
0.895 0.981 0.811
0.914 0.019 0.330
0.914 0.395 0.584
0.916 0.105 0.586
0.916 0.311 0.330
0.981 0.670 0.086
0.981 0.811 0.895

---

Record 20
GGA-PBE LiBeNi2, relaxed; energy of formation = 0.277 eV per atom; space group = I-42d (122)
1.0
-1.699 1.699 7.791
1.699 -1.699 7.791
1.699 1.699 -7.791
Li Be Ni
2 2 4
Direct
0.000 0.000 0.000
0.750 0.250 0.500
0.250 0.750 0.500
0.500 0.500 0.000
0.142 0.625 0.017
0.375 0.392 0.517
0.608 0.125 0.983
0.875 0.858 0.483